(1)
This record from Alexandria describes a geometry-optimized Tb3Pr2Hg2 structure. The functional is PBE-GGA.

Summary:
polymorph energy (0 for the lowest one) = 9 meV per atom
E_tot = -3.64 eV/atom
formation energy = -0.202 eV/atom
space-group type = No. 12

Structure (POSCAR):
```
Tb3Pr2Hg2
1.0
6.037 -2.387 0.000
6.037 2.387 0.000
-3.593 0.000 7.561
Tb Pr Hg
3 2 2
Cartesian
0.000 0.000 0.000 Tb
-0.088 0.000 3.456 Tb
8.570 0.000 4.105 Tb
3.650 0.000 1.592 Pr
4.832 0.000 5.969 Pr
1.337 0.000 6.043 Hg
7.145 0.000 1.518 Hg
```

(2)
This record from Alexandria describes a geometry-optimized AcLa3Pm6Nd2 structure. The functional is PBE-GGA.

Summary:
E_tot = -4.73 eV/atom
formation energy = 0.017 eV/atom
space-group type = No. 12

Structure (POSCAR):
```
AcLa3Pm6Nd2
1.0
3.218 -5.579 0.000
3.218 5.579 0.000
-2.153 0.000 12.038
Ac La Pm Nd
1 3 6 2
Cartesian
0.000 0.000 0.000 Ac
2.141 3.710 6.019 La
2.141 0.000 6.019 La
2.141 -3.710 6.019 La
1.080 1.874 3.020 Pm
0.010 0.000 9.014 Pm
1.080 -1.874 3.020 Pm
3.202 1.874 9.018 Pm
4.273 0.000 3.024 Pm
3.202 -1.874 9.018 Pm
3.218 1.860 0.000 Nd
3.218 -1.860 0.000 Nd
```